Compound: WN3F
Source: Alexandria via LeMat-Bulk
Functional: PBE+U
Structure: optimized geometry

Total moment: 2.30 μB per formula unit
Calculated total energy: -5.88 eV per atom
D(E_F): 0.850 states/eV/atom
Symmetry: Pm-3m (221)

Unit cell a=3.9653 b=3.9653 c=3.9653 alpha=90.00 beta=90.00 gamma=90.00
Fractional coordinates of all 5 atoms:
N  0.0000  0.5000  0.0000
N  0.0000  0.0000  0.5000
N  0.5000  0.0000  0.0000
W  0.0000  0.0000  0.0000
F  0.5000  0.5000  0.5000